! TeW PBE relaxed; values from VASP
&SYSTEM
  ibrav = 0, nat = 2, ntyp = 2
/
ATOMIC_SPECIES
Te 127.60 Te.upf
W 183.84 W.upf
ATOMIC_POSITIONS angstrom
Te 0.000 0.000 0.000
W -0.642 -2.567 -0.089
CELL_PARAMETERS angstrom
1.506 -3.994 -0.692
-1.570 -3.327 2.272
-2.502 -2.949 -1.934
! * space group: No. 216
! * total magnetization: 0.7077 μB per atom
! * total DFT energy (no corrections): -6.64 eV per atom

=====

! Te6W PBE relaxed; values from VASP
&SYSTEM
  ibrav = 0, nat = 7, ntyp = 2
/
ATOMIC_SPECIES
Te 127.60 Te.upf
W 183.84 W.upf
ATOMIC_POSITIONS angstrom
Te 3.186 5.885 2.958
Te 6.974 5.603 3.129
Te 6.680 2.956 0.414
Te 3.728 8.701 0.461
Te 3.433 6.055 -2.254
Te 7.222 5.773 -2.083
W 0.000 0.000 0.000
CELL_PARAMETERS angstrom
0.555 6.323 2.487
6.224 1.262 2.478
3.629 4.073 -4.089
! * space group: No. 148
! * total magnetization: 0.0001 μB per atom
! * total DFT energy (no corrections): -4.37 eV per atom

=====

> Among the records above, which one has the highest total DFT energy (no corrections)?

Te6W

=====

> Look up the total magnetization of the second one.

0.0001 μB per atom